1.
MgSbAs | Alexandria | GGA-PBE | relaxed; SG = F-43m, No. 216
1.0
4.844 0.000 0.000
2.422 4.195 0.000
2.422 1.398 3.955
As Mg Sb
1 1 1
direct
0.750 0.750 0.750 As
0.000 0.000 0.000 Mg
0.500 0.500 0.500 Sb

2.
UMn4PbS8 | Alexandria | GGA-PBE | relaxed; SG = R3m, No. 160
1.0
7.581 0.000 0.000
3.791 6.565 0.000
3.791 2.188 6.347
U Mn Pb S
1 4 1 8
direct
0.997 0.997 0.008 U
0.634 0.634 0.099 Mn
0.998 0.501 0.503 Mn
0.501 0.998 0.503 Mn
0.998 0.998 0.503 Mn
0.364 0.364 0.907 Pb
0.241 0.796 0.723 S
0.796 0.241 0.723 S
0.241 0.241 0.723 S
0.224 0.224 0.329 S
0.752 0.240 0.256 S
0.240 0.752 0.256 S
0.752 0.752 0.256 S
0.764 0.764 0.709 S

How do the records compare in ΔE_f (raw)? In the order shown, they have 1.5; -15.1 kcal/mol of atoms.